Nb2Tc2Os: optimized geometry, PBE-GGA.

Unit cell a=7.172 b=7.172 c=3.207 alpha=90.00 beta=90.00 gamma=90.00
Space group P4/mbm (No. 127)
Asymmetric unit:
Nb 0.183 0.317 0.000 x4
Tc 0.125 0.625 0.500 x4
Os 0.000 0.000 0.500 x2

Properties
Density   11.515 g/cm3
Energy relative to the elements   0.2799 eV per atom